Material: HoPuGaHg
Method: DFT, PBE
State: optimized geometry

Properties
- density (Mg/m³) = 11.4
- symmetry = F-43m
- M_tot (μB per atom) = 1.545
- E (eV/atom) = -5.88
- V (A^3/atom) = 24.7

Cell: 5.1915 5.1915 5.1915 Å, 60.00 60.00 60.00°
Fractional positions:
Ho1 0.0000 0.0000 0.0000
Pu1 0.5000 0.5000 0.5000
Ga1 0.7500 0.7500 0.7500
Hg1 0.2500 0.2500 0.2500